Record 1
First-principles (PBE-GGA) data for a geometry-optimized LaNd5Pb3 structure, as listed in the Alexandria database.

Computed properties:
Space group: P6_3/mcm

Lattice parameters (Å, degrees): 9.7997 9.7997 6.8449 90.00 90.00 120.00
Element x y z (fractional)
La (0.0000, 0.0000, 0.0000)
La (0.0000, 0.0000, 0.5000)
Nd (0.0000, 0.3335, 0.2500)
Nd (0.0000, 0.6665, 0.7500)
Nd (0.3335, 0.0000, 0.2500)
Nd (0.3335, 0.3335, 0.7500)
Nd (0.3333, 0.6667, 0.0000)
Nd (0.3333, 0.6667, 0.5000)
Nd (0.6665, 0.0000, 0.7500)
Nd (0.6667, 0.3333, 0.0000)
Nd (0.6667, 0.3333, 0.5000)
Nd (0.6665, 0.6665, 0.2500)
Pb (0.0000, 0.3344, 0.7500)
Pb (0.0000, 0.6656, 0.2500)
Pb (0.3344, 0.0000, 0.7500)
Pb (0.3344, 0.3344, 0.2500)
Pb (0.6656, 0.0000, 0.2500)
Pb (0.6656, 0.6656, 0.7500)

---

Record 2
First-principles (PBE-GGA) data for a geometry-optimized La3NdPb structure, as listed in the Alexandria database.

Computed properties:
Space group: P-1
Energy above the most stable polymorph in this dataset in meV per atom: 0

Lattice parameters (Å, degrees): 6.2478 6.9182 8.6608 103.81 108.15 94.13
Element x y z (fractional)
La (0.0148, 0.0651, 0.3192)
La (0.1463, 0.4673, 0.7372)
La (0.3325, 0.8297, 0.0938)
La (0.6675, 0.1703, 0.9062)
La (0.8537, 0.5327, 0.2628)
La (0.9852, 0.9349, 0.6808)
Nd (0.4226, 0.7507, 0.5110)
Nd (0.5774, 0.2493, 0.4890)
Pb (0.2716, 0.3268, 0.1108)
Pb (0.7284, 0.6732, 0.8892)

---

So what do the calculations give for formation energy? Going down the list: -42.9; -25.5 kJ/mol of atoms.
So what do the calculations give for size of the total moment? Going down the list: 2.9; 0.0 μB per formula unit.